{
  "formula": "NdSm4In3",
  "functional": "PBE",
  "state": "optimized geometry",
  "lattice": [[11.219, 0.000, 0.000], [0.000, 7.280, 0.000], [0.000, 0.000, 5.745]],
  "species": ["Nd", "Nd", "Sm", "Sm", "Sm", "Sm", "Sm", "Sm", "Sm", "Sm", "In", "In", "In", "In", "In", "In"],
  "fractional_positions": [[0.000, 0.000, 0.000], [0.500, 0.000, 0.000], [0.000, 0.255, 0.500], [0.000, 0.745, 0.500], [0.250, 0.257, 0.079], [0.250, 0.743, 0.079], [0.500, 0.255, 0.500], [0.500, 0.745, 0.500], [0.750, 0.257, 0.921], [0.750, 0.743, 0.921], [0.000, 0.500, 0.000], [0.250, 0.000, 0.587], [0.250, 0.500, 0.590], [0.500, 0.500, 0.000], [0.750, 0.000, 0.413], [0.750, 0.500, 0.410]],
  "delta_e_f_mev_per_atom": -311,
  "crystal_system": "orthorhombic"
}


{
  "formula": "AcPr2Pb",
  "functional": "PBE",
  "state": "optimized geometry",
  "lattice": [[4.266, 0.000, 0.000], [0.000, 4.266, 0.000], [0.000, 0.000, 7.654]],
  "species": ["Ac", "Pr", "Pr", "Pb"],
  "fractional_positions": [[0.000, 0.000, 0.000], [0.500, 0.500, 0.291], [0.500, 0.500, 0.709], [0.000, 0.000, 0.500]],
  "delta_e_f_mev_per_atom": -240,
  "polymorph_energy_mev_per_atom": 63.9,
  "crystal_system": "tetragonal"
}


{
  "formula": "ScZnI",
  "functional": "PBE",
  "state": "optimized geometry",
  "lattice": [[3.354, -1.936, 0.000], [3.354, 1.936, 0.000], [-2.128, 0.000, 12.879]],
  "species": ["Sc", "Sc", "Zn", "Zn", "I", "I"],
  "fractional_positions": [[0.107, 0.107, 0.310], [0.893, 0.893, 0.690], [0.182, 0.182, 0.550], [0.818, 0.818, 0.450], [0.392, 0.392, 0.160], [0.608, 0.608, 0.840]],
  "crystal_system": "monoclinic",
  "raw_formation_energy_mev_per_atom": -561
}


{
  "formula": "Sm2MnMoN5",
  "functional": "PBE",
  "state": "optimized geometry",
  "lattice": [[1.620, -6.958, 0.000], [1.620, 6.958, 0.000], [0.000, 0.000, 9.958]],
  "species": ["Sm", "Sm", "Sm", "Sm", "Mn", "Mn", "Mo", "Mo", "N", "N", "N", "N", "N", "N", "N", "N", "N", "N"],
  "fractional_positions": [[0.120, 0.880, 0.500], [0.130, 0.870, 0.125], [0.870, 0.130, 0.625], [0.880, 0.120, 0.000], [0.447, 0.553, 0.256], [0.553, 0.447, 0.756], [0.205, 0.795, 0.827], [0.795, 0.205, 0.327], [0.033, 0.967, 0.832], [0.301, 0.699, 0.465], [0.320, 0.680, 0.182], [0.339, 0.661, 0.814], [0.498, 0.502, 0.095], [0.502, 0.498, 0.595], [0.661, 0.339, 0.314], [0.680, 0.320, 0.682], [0.699, 0.301, 0.965], [0.967, 0.033, 0.332]],
  "crystal_system": "orthorhombic",
  "raw_formation_energy_mev_per_atom": -808
}


{
  "formula": "LiZn2Re",
  "functional": "PBE",
  "state": "optimized geometry",
  "lattice": [[4.545, 0.000, 0.000], [0.000, 4.545, 0.000], [0.000, 0.000, 2.737]],
  "species": ["Li", "Zn", "Zn", "Re"],
  "fractional_positions": [[0.000, 0.000, 0.000], [0.000, 0.500, 0.500], [0.500, 0.000, 0.500], [0.500, 0.500, 0.000]],
  "delta_e_f_mev_per_atom": 1,
  "polymorph_energy_mev_per_atom": 11.6,
  "crystal_system": "tetragonal"
}


{
  "formula": "BaHfSc3",
  "functional": "PBE",
  "state": "optimized geometry",
  "lattice": [[5.483, 0.000, 0.000], [0.000, 5.483, 0.000], [0.000, 0.000, 5.483]],
  "species": ["Ba", "Hf", "Sc", "Sc", "Sc"],
  "fractional_positions": [[0.000, 0.000, 0.000], [0.500, 0.500, 0.500], [0.000, 0.500, 0.500], [0.500, 0.000, 0.500], [0.500, 0.500, 0.000]],
  "delta_e_f_mev_per_atom": 560,
  "polymorph_energy_mev_per_atom": 0.0,
  "crystal_system": "cubic"
}


{
  "formula": "FePbS2",
  "functional": "PBE",
  "state": "optimized geometry",
  "lattice": [[1.692, 0.977, 8.257], [-1.692, 0.977, 8.257], [0.000, -1.954, 8.257]],
  "species": ["Fe", "Pb", "S", "S"],
  "fractional_positions": [[0.000, 0.000, 0.000], [0.500, 0.500, 0.500], [0.381, 0.381, 0.381], [0.619, 0.619, 0.619]],
  "crystal_system": "trigonal",
  "raw_formation_energy_mev_per_atom": -301
}


{
  "formula": "KBaPdO2",
  "functional": "PBE",
  "state": "optimized geometry",
  "lattice": [[5.706, 0.000, 0.000], [0.000, 6.226, 0.000], [0.000, 0.000, 5.865]],
  "species": ["K", "K", "Ba", "Ba", "Pd", "Pd", "O", "O", "O", "O"],
  "fractional_positions": [[0.250, 0.000, 0.012], [0.750, 0.000, 0.988], [0.250, 0.500, 0.675], [0.750, 0.500, 0.325], [0.000, 0.000, 0.500], [0.500, 0.000, 0.500], [0.250, 0.251, 0.343], [0.250, 0.749, 0.343], [0.750, 0.251, 0.657], [0.750, 0.749, 0.657]],
  "crystal_system": "orthorhombic",
  "raw_formation_energy_mev_per_atom": -1008
}


{
  "formula": "NiAg2Ge2",
  "functional": "PBE",
  "state": "optimized geometry",
  "lattice": [[6.178, 0.000, 0.000], [0.000, 6.178, 0.000], [0.000, 0.000, 4.468]],
  "species": ["Ni", "Ni", "Ag", "Ag", "Ag", "Ag", "Ge", "Ge", "Ge", "Ge"],
  "fractional_positions": [[0.000, 0.000, 0.000], [0.500, 0.500, 0.000], [0.178, 0.322, 0.500], [0.322, 0.822, 0.500], [0.678, 0.178, 0.500], [0.822, 0.678, 0.500], [0.144, 0.644, 0.000], [0.356, 0.144, 0.000], [0.644, 0.856, 0.000], [0.856, 0.356, 0.000]],
  "delta_e_f_mev_per_atom": 93,
  "polymorph_energy_mev_per_atom": 0.0,
  "crystal_system": "tetragonal"
}


{
  "formula": "Li2CuAg",
  "functional": "PBE",
  "state": "optimized geometry",
  "lattice": [[2.834, 0.000, 0.000], [0.000, 2.834, 0.000], [0.000, 0.000, 8.010]],
  "species": ["Li", "Li", "Cu", "Ag"],
  "fractional_positions": [[0.000, 0.000, 0.000], [0.500, 0.500, 0.306], [0.500, 0.500, 0.786], [0.000, 0.000, 0.551]],
  "delta_e_f_mev_per_atom": -17,
  "crystal_system": "tetragonal"
}


{
  "formula": "TiMo2H",
  "functional": "PBE",
  "state": "optimized geometry",
  "lattice": [[0.000, 3.010, 3.010], [3.010, 0.000, 3.010], [3.010, 3.010, 0.000]],
  "species": ["Ti", "Mo", "Mo", "H"],
  "fractional_positions": [[0.000, 0.000, 0.000], [0.250, 0.250, 0.250], [0.750, 0.750, 0.750], [0.500, 0.500, 0.500]],
  "polymorph_energy_mev_per_atom": 514.4,
  "crystal_system": "cubic"
}


{
  "formula": "CaLaTl4",
  "functional": "PBE",
  "state": "optimized geometry",
  "lattice": [[0.000, 4.495, 4.495], [4.495, 0.000, 4.495], [4.495, 4.495, 0.000]],
  "species": ["Ca", "La", "Tl", "Tl", "Tl", "Tl"],
  "fractional_positions": [[0.000, 0.000, 0.000], [0.750, 0.750, 0.750], [0.375, 0.375, 0.375], [0.375, 0.375, 0.875], [0.375, 0.875, 0.375], [0.875, 0.375, 0.375]],
  "delta_e_f_mev_per_atom": -181,
  "polymorph_energy_mev_per_atom": 96.0,
  "crystal_system": "cubic"
}


{
  "formula": "CaHfRh2",
  "functional": "PBE",
  "state": "optimized geometry",
  "lattice": [[-1.477, 2.615, 5.160], [1.477, -2.615, 5.160], [1.477, 2.615, -5.160]],
  "species": ["Ca", "Hf", "Rh", "Rh"],
  "fractional_positions": [[0.000, 0.000, 0.000], [0.500, 0.500, 0.000], [0.266, 0.266, 0.000], [0.734, 0.734, 0.000]],
  "delta_e_f_mev_per_atom": 392,
  "crystal_system": "orthorhombic"
}